# CaNb2Au | the Alexandria database | PBE | relaxed
data_CaNb2Au
_chemical_formula_sum 'Ca4 Nb8 Au4'
_space_group_name_H-M_alt 'F m -3 m'
_space_group_IT_number 225
_space_group_name_Hall '-F 4 2 3'
_cell_length_a 6.8052
_cell_length_b 6.8052
_cell_length_c 6.8052
_cell_angle_alpha 90.00
_cell_angle_beta 90.00
_cell_angle_gamma 90.00
loop_
_atom_site_label
_atom_site_fract_x
_atom_site_fract_y
_atom_site_fract_z
Ca1 0.0000 0.0000 0.0000
Nb1 0.2500 0.2500 0.2500
Au1 0.0000 0.0000 0.5000
# ΔE_f: 0.590 eV/atom
# ΔE to the lowest computed polymorph: 199 meV per atom

# MgAlHg2 | the Alexandria database | PBE | relaxed
data_MgAlHg2
_chemical_formula_sum 'Mg4 Al4 Hg8'
_space_group_name_H-M_alt 'I -4 2 d'
_space_group_IT_number 122
_space_group_name_Hall 'I -4 2bw'
_cell_length_a 7.7438
_cell_length_b 7.7438
_cell_length_c 6.2232
_cell_angle_alpha 90.00
_cell_angle_beta 90.00
_cell_angle_gamma 90.00
loop_
_atom_site_label
_atom_site_fract_x
_atom_site_fract_y
_atom_site_fract_z
Mg1 0.0000 0.0000 0.0000
Al1 0.0000 0.0000 0.5000
Hg1 0.2332 0.2500 0.6250
# ΔE_f: 0.072 eV/atom

# Pm5HoEr12 | the Alexandria database | PBE | relaxed
data_Pm5HoEr12
_chemical_formula_sum 'Pm10 Ho2 Er24'
_space_group_name_H-M_alt 'C 1 2/m 1'
_space_group_IT_number 12
_cell_length_a 6.1654
_cell_length_b 10.6750
_cell_length_c 17.3481
_cell_angle_alpha 90.00
_cell_angle_beta 96.79
_cell_angle_gamma 90.00
loop_
_space_group_symop_operation_xyz
'x,y,z'
'-x,-y,-z'
'-x,y,-z'
'x,-y,z'
'x+1/2,y+1/2,z'
'-x+1/2,-y+1/2,-z'
'-x+1/2,y+1/2,-z'
'x+1/2,-y+1/2,z'
loop_
_atom_site_label
_atom_site_fract_x
_atom_site_fract_y
_atom_site_fract_z
Pm1 0.0000 0.0000 0.0000
Pm2 0.0000 0.1666 0.5000
Pm3 0.0000 0.3331 0.0000
Ho1 0.0000 0.5000 0.5000
Er1 0.1103 0.1667 0.8300
Er2 0.1105 0.5000 0.8301
Er3 0.2219 0.3339 0.6667
Er4 0.2236 0.0000 0.6668
# ΔE_f: 0.007 eV/atom

# NbS2F | the Alexandria database | PBE | relaxed
data_NbS2F
_chemical_formula_sum 'Nb4 S8 F4'
_space_group_name_H-M_alt 'P n n a'
_space_group_IT_number 52
_cell_length_a 6.3006
_cell_length_b 5.3710
_cell_length_c 9.5136
_cell_angle_alpha 90.00
_cell_angle_beta 90.00
_cell_angle_gamma 90.00
loop_
_space_group_symop_operation_xyz
'x,y,z'
'-x,-y,-z'
'-x+1/2,-y,z'
'x+1/2,y,-z'
'x,-y+1/2,-z+1/2'
'-x,y+1/2,z+1/2'
'-x+1/2,y+1/2,-z+1/2'
'x+1/2,-y+1/2,z+1/2'
loop_
_atom_site_label
_atom_site_fract_x
_atom_site_fract_y
_atom_site_fract_z
Nb1 0.2500 0.0000 0.0750
S1 0.0740 0.2473 0.5851
F1 0.1739 0.2500 0.2500
# ΔE to the lowest computed polymorph: 0 meV per atom
# energy relative to the elements, uncorrected: -1.394 eV/atom

Size of the total moment across the listed records, respectively: 0.0 0.0 0.0 0.0 μB per cell.
V across the listed records, respectively: 19.70 23.32 31.49 20.12 Å³/atom.